Crystalline Sm12Er3Mg at its relaxed geometry. Source: the Alexandria database, functional PBE.

abc: 5.0581 5.0581 20.3246
angles: 90.00 90.00 90.00
With the nearest neighbours (Å) after each atom.
Fractional coordinates of all 16 atoms:
Sm (0.0000, 0.0000, 0.0000)  8 Sm 3.56, 4 Mg 3.58
Sm (0.0000, 0.0000, 0.2467)  8 Sm 3.56-3.62, 4 Er 3.58
Sm (0.0000, 0.0000, 0.5000)  4 Er 3.58, 8 Sm 3.60
Sm (0.0000, 0.0000, 0.7533)  8 Sm 3.56-3.62, 4 Er 3.58
Sm (0.0000, 0.5000, 0.1233)  2 Mg 3.56, 8 Sm 3.56-3.58, 2 Er 3.58
Sm (0.0000, 0.5000, 0.3742)  8 Sm 3.58-3.62, 4 Er 3.60
Sm (0.0000, 0.5000, 0.6258)  8 Sm 3.58-3.62, 4 Er 3.60
Sm (0.0000, 0.5000, 0.8767)  2 Mg 3.56, 8 Sm 3.56-3.58, 2 Er 3.58
Sm (0.5000, 0.0000, 0.1233)  2 Mg 3.56, 8 Sm 3.56-3.58, 2 Er 3.58
Sm (0.5000, 0.0000, 0.3742)  8 Sm 3.58-3.62, 4 Er 3.60
Sm (0.5000, 0.0000, 0.6258)  8 Sm 3.58-3.62, 4 Er 3.60
Sm (0.5000, 0.0000, 0.8767)  2 Mg 3.56, 8 Sm 3.56-3.58, 2 Er 3.58
Er (0.5000, 0.5000, 0.2482)  12 Sm 3.58-3.60
Er (0.5000, 0.5000, 0.5000)  12 Sm 3.58-3.60
Er (0.5000, 0.5000, 0.7518)  12 Sm 3.58-3.60
Mg (0.5000, 0.5000, 0.0000)  12 Sm 3.56-3.58

total magnetic moment: 0.00 μB per cell
ΔE_f: 0.015 eV per atom
uncorrected energy: -4.480 eV/atom
space group: P4/mmm